<a>
A geometry-optimized PuUSnRu structure. Source: Alexandria via LeMat-Bulk, functional PBE.

```
PuUSnRu
1.0
4.905 -1.660 0.000
4.905 1.660 0.000
-2.061 0.000 5.084
Pu U Sn Ru
1 1 1 1
direct
0.000 0.000 0.000 Pu
0.739 0.739 0.189 U
0.205 0.205 0.656 Sn
0.447 0.447 0.469 Ru
```

Summary:
For the total magnetization, the calculation gives 5.472 Bohr magnetons per cell. Its space group is Cm (8). The value obtained for the volume is 82.8 Å³/f.u. The value obtained for the density of states at the Fermi level is 6.71 states/eV/cell.



<b>
A geometry-optimized PuUSnRu structure. Source: Alexandria via LeMat-Bulk, functional PBE.

```
PuUSnRu
1.0
0.000 3.456 3.456
3.456 0.000 3.456
3.456 3.456 0.000
Pu U Sn Ru
1 1 1 1
direct
0.000 0.000 0.000 Pu
0.250 0.250 0.250 U
0.750 0.750 0.750 Sn
0.500 0.500 0.500 Ru
```

Summary:
For the total magnetization, the calculation gives 7.999 Bohr magnetons per cell. Its space group is F-43m (216). The value obtained for the volume is 82.5 Å³/f.u. The value obtained for the density of states at the Fermi level is 5.50 states/eV/cell.



Which of them is most stable, and which least? Most stable: <a>; least stable: <b>.



<a>
A geometry-optimized TbPu3Ru2 structure. Source: Alexandria via LeMat-Bulk, functional PBE.

```
TbPu3Ru2
1.0
4.164 0.000 0.000
0.000 9.048 0.000
0.000 0.000 7.034
Tb Pu Ru
2 6 4
direct
0.000 0.061 0.000 Tb
0.000 0.939 0.500 Tb
0.000 0.324 0.686 Pu
0.000 0.676 0.186 Pu
0.500 0.212 0.337 Pu
0.500 0.432 0.927 Pu
0.500 0.568 0.427 Pu
0.500 0.788 0.837 Pu
0.000 0.363 0.182 Ru
0.000 0.637 0.682 Ru
0.500 0.119 0.702 Ru
0.500 0.881 0.202 Ru
```

Summary:
For the total magnetization, the calculation gives 10.088 Bohr magnetons per cell. Its space group is Pmc2_1 (26). The value obtained for the volume is 132.5 Å³/f.u. The value obtained for the density of states at the Fermi level is 38.97 states/eV/cell.



<b>
A geometry-optimized TbPu3Ru2 structure. Source: Alexandria via LeMat-Bulk, functional PBE.

```
TbPu3Ru2
1.0
8.231 -2.031 0.000
8.231 2.031 0.000
-2.316 0.000 6.972
Tb Pu Ru
2 6 4
direct
0.115 0.115 0.177 Tb
0.885 0.885 0.823 Tb
0.054 0.054 0.651 Pu
0.287 0.287 0.063 Pu
0.377 0.377 0.445 Pu
0.623 0.623 0.555 Pu
0.713 0.713 0.937 Pu
0.946 0.946 0.349 Pu
0.239 0.239 0.643 Ru
0.466 0.466 0.136 Ru
0.534 0.534 0.864 Ru
0.761 0.761 0.357 Ru
```

Summary:
For the total magnetization, the calculation gives 5.083 Bohr magnetons per cell. Its space group is C2/m (12). The value obtained for the volume is 116.6 Å³/f.u. The value obtained for the density of states at the Fermi level is 21.19 states/eV/cell.



Which of them is most stable, and which least? Most stable: <a>; least stable: <b>.



<a>
A geometry-optimized Tb3Pu2Ru4 structure. Source: Alexandria via LeMat-Bulk, functional PBE.

```
Tb3Pu2Ru4
1.0
7.230 -4.645 0.000
7.230 4.645 0.000
-0.486 0.000 5.719
Tb Pu Ru
6 4 8
direct
0.070 0.930 0.750 Tb
0.296 0.500 0.592 Tb
0.500 0.296 0.092 Tb
0.500 0.704 0.908 Tb
0.704 0.500 0.408 Tb
0.930 0.070 0.250 Tb
0.095 0.330 0.073 Pu
0.330 0.095 0.573 Pu
0.670 0.905 0.427 Pu
0.905 0.670 0.927 Pu
0.043 0.331 0.581 Ru
0.206 0.657 0.099 Ru
0.331 0.043 0.081 Ru
0.343 0.794 0.401 Ru
0.657 0.206 0.599 Ru
0.669 0.957 0.919 Ru
0.794 0.343 0.901 Ru
0.957 0.669 0.419 Ru
```

Summary:
For the total magnetization, the calculation gives 16.261 Bohr magnetons per cell. Its space group is C2/c (15). The value obtained for the volume is 192.1 Å³/f.u. The value obtained for the density of states at the Fermi level is 28.04 states/eV/cell.



<b>
A geometry-optimized Tb3Pu2Ru4 structure. Source: Alexandria via LeMat-Bulk, functional PBE.

```
Tb3Pu2Ru4
1.0
5.405 -2.103 0.000
5.405 2.103 0.000
-1.632 0.000 8.756
Tb Pu Ru
3 2 4
direct
0.000 0.000 0.000 Tb
0.374 0.374 0.611 Tb
0.626 0.626 0.389 Tb
0.329 0.329 0.216 Pu
0.671 0.671 0.784 Pu
0.089 0.089 0.628 Ru
0.286 0.286 0.906 Ru
0.714 0.714 0.094 Ru
0.911 0.911 0.372 Ru
```

Summary:
For the total magnetization, the calculation gives 7.634 Bohr magnetons per cell. Its space group is C2/m (12). The value obtained for the volume is 199.1 Å³/f.u. The value obtained for the density of states at the Fermi level is 9.47 states/eV/cell.



Which of them is most stable, and which least? Most stable: <b>; least stable: <a>.



<a>
A geometry-optimized Tb2PuRu2 structure. Source: Alexandria via LeMat-Bulk, functional PBE.

```
Tb2PuRu2
1.0
5.040 -2.913 0.000
5.040 2.913 0.000
-1.563 0.000 7.661
Tb Pu Ru
4 2 4
direct
0.022 0.281 0.151 Tb
0.281 0.022 0.651 Tb
0.719 0.978 0.349 Tb
0.978 0.719 0.849 Tb
0.371 0.629 0.250 Pu
0.629 0.371 0.750 Pu
0.230 0.506 0.491 Ru
0.494 0.770 0.009 Ru
0.506 0.230 0.991 Ru
0.770 0.494 0.509 Ru
```

Summary:
For the total magnetization, the calculation gives 8.436 Bohr magnetons per cell. Its space group is C2/c (15). The value obtained for the volume is 112.5 Å³/f.u. The value obtained for the density of states at the Fermi level is 12.60 states/eV/cell.



<b>
A geometry-optimized Tb2PuRu2 structure. Source: Alexandria via LeMat-Bulk, functional PBE.

```
Tb2PuRu2
1.0
2.061 -5.618 0.000
2.061 5.618 0.000
0.000 0.000 10.088
Tb Pu Ru
4 2 4
direct
0.100 0.900 0.500 Tb
0.344 0.656 0.697 Tb
0.656 0.344 0.197 Tb
0.900 0.100 0.000 Tb
0.366 0.634 0.335 Pu
0.634 0.366 0.835 Pu
0.013 0.987 0.754 Ru
0.177 0.823 0.985 Ru
0.823 0.177 0.485 Ru
0.987 0.013 0.254 Ru
```

Summary:
For the total magnetization, the calculation gives 8.394 Bohr magnetons per cell. Its space group is Cmc2_1 (36). The value obtained for the volume is 116.8 Å³/f.u. The value obtained for the density of states at the Fermi level is 12.60 states/eV/cell.



Which of them is most stable, and which least? Most stable: <a>; least stable: <b>.



<a>
A geometry-optimized Pu4TcRu structure. Source: Alexandria via LeMat-Bulk, functional PBE.

```
Pu4TcRu
1.0
4.156 -5.657 0.000
4.156 5.657 0.000
-2.278 0.000 4.568
Pu Tc Ru
8 2 2
direct
0.053 0.633 0.895 Pu
0.169 0.413 0.589 Pu
0.367 0.947 0.605 Pu
0.413 0.169 0.089 Pu
0.587 0.831 0.911 Pu
0.633 0.053 0.395 Pu
0.831 0.587 0.411 Pu
0.947 0.367 0.105 Pu
0.013 0.987 0.250 Tc
0.987 0.013 0.750 Tc
0.436 0.564 0.250 Ru
0.564 0.436 0.750 Ru
```

Summary:
For the total magnetization, the calculation gives 0.000 Bohr magnetons per cell. Its space group is C2/c (15). The value obtained for the volume is 107.4 Å³/f.u. The value obtained for the density of states at the Fermi level is 27.87 states/eV/cell.



<b>
A geometry-optimized Pu4TcRu structure. Source: Alexandria via LeMat-Bulk, functional PBE.

```
Pu4TcRu
1.0
-2.281 2.281 10.565
2.281 -2.281 10.565
2.281 2.281 -10.565
Pu Tc Ru
8 2 2
direct
0.027 0.775 0.752 Pu
0.225 0.473 0.248 Pu
0.275 0.023 0.748 Pu
0.477 0.725 0.252 Pu
0.523 0.275 0.748 Pu
0.725 0.977 0.252 Pu
0.775 0.527 0.752 Pu
0.973 0.225 0.248 Pu
0.125 0.375 0.750 Tc
0.875 0.625 0.250 Tc
0.375 0.125 0.250 Ru
0.625 0.875 0.750 Ru
```

Summary:
For the total magnetization, the calculation gives 0.000 Bohr magnetons per cell. Its space group is I4_1/a (88). The value obtained for the volume is 109.9 Å³/f.u. The value obtained for the density of states at the Fermi level is 23.55 states/eV/cell.



Which of them is most stable, and which least? Most stable: <a>; least stable: <b>.



<a>
A geometry-optimized PuTi2Ru structure. Source: Alexandria via LeMat-Bulk, functional PBE.

```
PuTi2Ru
1.0
3.070 0.000 0.000
0.000 3.070 0.000
0.000 0.000 7.349
Pu Ti Ru
1 2 1
direct
0.000 0.000 0.000 Pu
0.500 0.500 0.291 Ti
0.500 0.500 0.709 Ti
0.000 0.000 0.500 Ru
```

Summary:
For the total magnetization, the calculation gives 5.047 Bohr magnetons per cell. Its space group is P4/mmm (123). The value obtained for the volume is 69.3 Å³/f.u. The value obtained for the density of states at the Fermi level is 4.37 states/eV/cell.



<b>
A geometry-optimized PuTi2Ru structure. Source: Alexandria via LeMat-Bulk, functional PBE.

```
PuTi2Ru
1.0
4.666 0.000 0.000
0.000 4.666 0.000
0.000 0.000 3.071
Pu Ti Ru
1 2 1
direct
0.000 0.000 0.000 Pu
0.000 0.500 0.500 Ti
0.500 0.000 0.500 Ti
0.500 0.500 0.000 Ru
```

Summary:
For the total magnetization, the calculation gives 5.123 Bohr magnetons per cell. Its space group is P4/mmm (123). The value obtained for the volume is 66.9 Å³/f.u. The value obtained for the density of states at the Fermi level is 8.19 states/eV/cell.



Which of them is most stable, and which least? Most stable: <a>; least stable: <b>.